1.
## Gd2TmGa (GGA-PBE)

Data for crystalline Gd2TmGa at its relaxed geometry.

a = 3.5315 Å, b = 3.5315 Å, c = 8.9264 Å
α = 90.00°, β = 90.00°, γ = 90.00°
Site moments in Bohr magnetons follow the coordinates.
Element x y z (fractional)
Gd1 0.0000 0.0000 0.7870  7.11
Gd2 0.0000 0.0000 0.2130  7.11
Tm1 0.5000 0.5000 0.5000  0.08
Ga1 0.5000 0.5000 0.0000  -0.03

excess energy over the best structure of this formula in the dataset = 0 meV per atom
E = -36.7 eV/f.u.
spin magnetization = 14.69 μB/f.u.
DOS(E_F) = 5.78 states/eV per cell
space-group type = P4/mmm


2.
## GdTmZnGa (GGA-PBE)

Data for crystalline GdTmZnGa at its relaxed geometry.

a = 5.0449 Å, b = 5.0449 Å, c = 5.0449 Å
α = 60.00°, β = 60.00°, γ = 60.00°
Site moments in Bohr magnetons follow the coordinates.
Element x y z (fractional)
Gd1 0.0000 0.0000 0.0000  7.11
Zn1 0.7500 0.7500 0.7500  0.01
Tm1 0.5000 0.5000 0.5000  0.15
Ga1 0.2500 0.2500 0.2500  -0.03

E = -24.8 eV/f.u.
spin magnetization = 7.49 μB/f.u.
DOS(E_F) = 3.23 states/eV per cell
space-group type = F-43m


3.
## Gd2VGa (GGA-PBE)

Data for crystalline Gd2VGa at its relaxed geometry.

a = 3.3360 Å, b = 3.3360 Å, c = 10.5949 Å
α = 80.94°, β = 80.94°, γ = 60.00°
Site moments in Bohr magnetons follow the coordinates.
Element x y z (fractional)
Gd1 0.0915 0.0915 0.7254  7.17
Gd2 0.9085 0.9085 0.2746  7.17
Ga1 0.5000 0.5000 0.5000  -0.04
V1 0.0000 0.0000 0.0000  2.52

E = -38.6 eV/f.u.
spin magnetization = 17.66 μB/f.u.
DOS(E_F) = 4.88 states/eV per cell
space-group type = R-3m


4.
## Gd2YGa (GGA-PBE)

Data for crystalline Gd2YGa at its relaxed geometry.

a = 4.8227 Å, b = 4.7215 Å, c = 4.7215 Å
α = 90.00°, β = 90.00°, γ = 90.00°
Site moments in Bohr magnetons follow the coordinates.
Element x y z (fractional)
Y1 0.5000 0.0000 0.0000  0.21
Gd1 0.0000 0.0000 0.5000  7.31
Gd2 0.0000 0.5000 0.0000  7.31
Ga1 0.5000 0.5000 0.5000  -0.06

excess energy over the best structure of this formula in the dataset = 5 meV per atom
E = -38.7 eV/f.u.
spin magnetization = 15.41 μB/f.u.
DOS(E_F) = 2.91 states/eV per cell
space-group type = P4/mmm


5.
## Gd2YGa (GGA-PBE)

Data for crystalline Gd2YGa at its relaxed geometry.

a = 3.5029 Å, b = 3.5029 Å, c = 11.9617 Å
α = 81.58°, β = 81.58°, γ = 60.00°
Site moments in Bohr magnetons follow the coordinates.
Element x y z (fractional)
Y1 0.5000 0.5000 0.5000  -0.13
Gd1 0.0855 0.0855 0.7436  7.24
Gd2 0.9145 0.9145 0.2564  7.24
Ga1 0.0000 0.0000 0.0000  0.02

excess energy over the best structure of this formula in the dataset = 419 meV per atom
E = -37.0 eV/f.u.
spin magnetization = 14.86 μB/f.u.
DOS(E_F) = 3.94 states/eV per cell
space-group type = R-3m


6.
## GdYGa4 (GGA-PBE)

Data for crystalline GdYGa4 at its relaxed geometry.

a = 5.5324 Å, b = 5.5324 Å, c = 5.5324 Å
α = 60.00°, β = 60.00°, γ = 60.00°
Site moments in Bohr magnetons follow the coordinates.
Element x y z (fractional)
Y1 0.2500 0.2500 0.2500  -0.08
Gd1 0.0000 0.0000 0.0000  -7.13
Ga1 0.6251 0.6251 0.1247  0.01
Ga2 0.6251 0.1247 0.6251  0.01
Ga3 0.6251 0.6251 0.6251  0.01
Ga4 0.1247 0.6251 0.6251  0.01

E = -36.1 eV/f.u.
spin magnetization = 7.46 μB/f.u.
DOS(E_F) = 3.21 states/eV per cell
space-group type = F-43m


7.
## GdY2Ga (GGA-PBE)

Data for crystalline GdY2Ga at its relaxed geometry.

a = 4.7036 Å, b = 4.7738 Å, c = 4.7738 Å
α = 90.00°, β = 90.00°, γ = 90.00°
Site moments in Bohr magnetons follow the coordinates.
Element x y z (fractional)
Y1 0.0000 0.0000 0.5000  0.16
Y2 0.0000 0.5000 0.0000  0.16
Gd1 0.5000 0.5000 0.5000  7.29
Ga1 0.5000 0.0000 0.0000  -0.04

excess energy over the best structure of this formula in the dataset = 35 meV per atom
E = -31.0 eV/f.u.
spin magnetization = 8.01 μB/f.u.
DOS(E_F) = 4.07 states/eV per cell
space-group type = P4/mmm


8.
## GdYGa2 (GGA-PBE)

Data for crystalline GdYGa2 at its relaxed geometry.

a = 3.5803 Å, b = 3.5803 Å, c = 7.2580 Å
α = 90.00°, β = 90.00°, γ = 90.00°
Site moments in Bohr magnetons follow the coordinates.
Element x y z (fractional)
Y1 0.5000 0.5000 0.5000  -0.05
Gd1 0.5000 0.5000 0.0000  7.10
Ga1 0.0000 0.0000 0.7457  -0.01
Ga2 0.0000 0.0000 0.2543  -0.01

excess energy over the best structure of this formula in the dataset = 0 meV per atom
E = -29.0 eV/f.u.
spin magnetization = 7.17 μB/f.u.
DOS(E_F) = 2.09 states/eV per cell
space-group type = P4/mmm


9.
## GdYGa2 (GGA-PBE)

Data for crystalline GdYGa2 at its relaxed geometry.

a = 5.0836 Å, b = 5.0836 Å, c = 5.0836 Å
α = 60.00°, β = 60.00°, γ = 60.00°
Site moments in Bohr magnetons follow the coordinates.
Element x y z (fractional)
Y1 0.0000 0.0000 0.0000  0.00
Gd1 0.5000 0.5000 0.5000  7.00
Ga1 0.2500 0.2500 0.2500  -0.03
Ga2 0.7500 0.7500 0.7500  -0.03

excess energy over the best structure of this formula in the dataset = 8 meV per atom
E = -29.0 eV/f.u.
spin magnetization = 7.01 μB/f.u.
DOS(E_F) = 1.82 states/eV per cell
space-group type = Fm-3m


10.
## Gd2YGa (GGA-PBE)

Data for crystalline Gd2YGa at its relaxed geometry.

a = 3.5578 Å, b = 3.5578 Å, c = 8.9827 Å
α = 90.00°, β = 90.00°, γ = 90.00°
Site moments in Bohr magnetons follow the coordinates.
Element x y z (fractional)
Y1 0.5000 0.5000 0.5000  0.03
Gd1 0.0000 0.0000 0.7915  7.11
Gd2 0.0000 0.0000 0.2085  7.11
Ga1 0.5000 0.5000 0.0000  -0.02

excess energy over the best structure of this formula in the dataset = 0 meV per atom
E = -38.7 eV/f.u.
spin magnetization = 14.70 μB/f.u.
DOS(E_F) = 5.78 states/eV per cell
space-group type = P4/mmm


11.
## GdY2Ga (GGA-PBE)

Data for crystalline GdY2Ga at its relaxed geometry.

a = 3.5453 Å, b = 3.5453 Å, c = 8.9219 Å
α = 90.00°, β = 90.00°, γ = 90.00°
Site moments in Bohr magnetons follow the coordinates.
Element x y z (fractional)
Y1 0.0000 0.0000 0.7940  -0.02
Y2 0.0000 0.0000 0.2060  -0.02
Gd1 0.5000 0.5000 0.5000  -7.25
Ga1 0.5000 0.5000 0.0000  0.00

excess energy over the best structure of this formula in the dataset = 0 meV per atom
E = -31.2 eV/f.u.
spin magnetization = 7.71 μB/f.u.
DOS(E_F) = 4.40 states/eV per cell
space-group type = P4/mmm


12.
## Gd2ZnGa (GGA-PBE)

Data for crystalline Gd2ZnGa at its relaxed geometry.

a = 3.4328 Å, b = 3.4328 Å, c = 10.8929 Å
α = 80.93°, β = 80.93°, γ = 60.00°
Site moments in Bohr magnetons follow the coordinates.
Element x y z (fractional)
Zn1 0.5000 0.5000 0.5000  -0.01
Gd1 0.0948 0.0948 0.7156  7.22
Gd2 0.9052 0.9052 0.2844  7.22
Ga1 0.0000 0.0000 0.0000  0.03

E = -32.1 eV/f.u.
spin magnetization = 15.04 μB/f.u.
DOS(E_F) = 3.75 states/eV per cell
space-group type = R-3m


13.
## GdZnGa2 (GGA-PBE)

Data for crystalline GdZnGa2 at its relaxed geometry.

a = 4.2517 Å, b = 4.3004 Å, c = 4.3004 Å
α = 90.00°, β = 90.00°, γ = 90.00°
Site moments in Bohr magnetons follow the coordinates.
Element x y z (fractional)
Zn1 0.5000 0.0000 0.0000  0.00
Gd1 0.5000 0.5000 0.5000  7.05
Ga1 0.0000 0.0000 0.5000  -0.01
Ga2 0.0000 0.5000 0.0000  -0.01

E = -23.2 eV/f.u.
spin magnetization = 7.15 μB/f.u.
DOS(E_F) = 2.14 states/eV per cell
space-group type = P4/mmm


14.
## GdZn2Ga (GGA-PBE)

Data for crystalline GdZn2Ga at its relaxed geometry.

a = 4.7608 Å, b = 4.7608 Å, c = 4.7608 Å
α = 60.00°, β = 60.00°, γ = 60.00°
Site moments in Bohr magnetons follow the coordinates.
Element x y z (fractional)
Zn1 0.2500 0.2500 0.2500  -0.03
Zn2 0.7500 0.7500 0.7500  -0.03
Gd1 0.5000 0.5000 0.5000  6.89
Ga1 0.0000 0.0000 0.0000  -0.04

E = -20.8 eV/f.u.
spin magnetization = 6.78 μB/f.u.
DOS(E_F) = 1.50 states/eV per cell
space-group type = Fm-3m


15.
## GdZnGa (GGA-PBE)

Data for crystalline GdZnGa at its relaxed geometry.

a = 3.3643 Å, b = 3.3643 Å, c = 6.0225 Å
α = 106.22°, β = 106.22°, γ = 90.00°
Site moments in Bohr magnetons follow the coordinates.
Element x y z (fractional)
Zn1 0.9694 0.9694 0.9388  -0.01
Gd1 0.2848 0.2848 0.5697  7.21
Ga1 0.5958 0.5958 0.1915  0.00

E = -19.4 eV/f.u.
spin magnetization = 7.43 μB/f.u.
DOS(E_F) = 1.50 states/eV per cell
space-group type = I4mm


16.
## GdZnGa (GGA-PBE)

Data for crystalline GdZnGa at its relaxed geometry.

a = 3.6080 Å, b = 4.4642 Å, c = 4.4642 Å
α = 120.00°, β = 90.00°, γ = 90.00°
Site moments in Bohr magnetons follow the coordinates.
Element x y z (fractional)
Zn1 0.1665 0.3333 0.6667  0.01
Gd1 0.6666 0.6667 0.3333  7.14
Ga1 0.1669 0.0000 0.0000  -0.02

E = -20.0 eV/f.u.
spin magnetization = 7.40 μB/f.u.
DOS(E_F) = 1.45 states/eV per cell
space-group type = P-6m2